1.
Material: Pm3CdAg8
Method: DFT, PBE
State: relaxed

Results
ρ = 8.925 Mg/m³
energy relative to the elements = -0.180 eV/atom
SG = R3m, No. 160
volume = 262 Å³ per cell

Cell: 5.690 5.690 9.919 Å, 73.33 73.33 60.00°
Atoms (fractional coordinates):
1 Ag 0.941 0.436 0.188
2 Ag 0.438 0.938 0.687
3 Ag 0.436 0.941 0.188
4 Ag 0.938 0.938 0.687
5 Ag 0.188 0.188 0.435
6 Ag 0.436 0.436 0.188
7 Ag 0.687 0.687 0.939
8 Ag 0.938 0.438 0.687
9 Pm 0.992 0.992 0.023
10 Pm 0.505 0.505 0.484
11 Pm 0.380 0.380 0.860
12 Cd 0.871 0.871 0.386


2.
Material: PmCd6Ag4
Method: DFT, PBE
State: relaxed

Results
ρ = 7.790 Mg/m³
energy relative to the elements = -0.032 eV/atom
SG = I-42m, No. 121
volume = 267 Å³ per cell
energy above the lowest structure with this stoichiometry = 0.063 eV/atom

Cell: 7.256 7.256 7.256 Å, 88.57 120.83 120.83°
Atoms (fractional coordinates):
1 Cd 0.500 0.500 0.000
2 Cd 0.000 0.890 0.531
3 Cd 0.359 0.469 0.469
4 Cd 0.000 0.531 0.890
5 Cd 0.500 0.000 0.500
6 Cd 0.641 0.110 0.110
7 Ag 0.000 0.256 0.600
8 Ag 0.000 0.600 0.256
9 Ag 0.656 0.400 0.400
10 Ag 0.344 0.744 0.744
11 Pm 0.000 0.000 0.000


3.
Material: Pm2Cd2Ag15
Method: DFT, PBE
State: relaxed

Results
ρ = 9.141 Mg/m³
energy relative to the elements = -0.084 eV/atom
SG = R-3m, No. 166
volume = 387 Å³ per cell

Cell: 7.350 7.350 7.350 Å, 82.42 82.42 82.42°
Atoms (fractional coordinates):
1 Ag 0.500 0.000 0.000
2 Ag 0.352 0.352 0.841
3 Ag 0.694 0.000 0.306
4 Ag 0.648 0.159 0.648
5 Ag 0.694 0.306 0.000
6 Ag 0.000 0.694 0.306
7 Ag 0.306 0.694 0.000
8 Ag 0.306 0.000 0.694
9 Ag 0.000 0.000 0.500
10 Ag 0.159 0.648 0.648
11 Ag 0.000 0.306 0.694
12 Ag 0.648 0.648 0.159
13 Ag 0.841 0.352 0.352
14 Ag 0.352 0.841 0.352
15 Ag 0.000 0.500 0.000
16 Pm 0.649 0.649 0.649
17 Pm 0.351 0.351 0.351
18 Cd 0.104 0.104 0.104
19 Cd 0.896 0.896 0.896


4.
Material: Pm2Cd15Ag2
Method: DFT, PBE
State: relaxed

Results
ρ = 8.438 Mg/m³
energy relative to the elements = -0.136 eV/atom
SG = R-3m, No. 166
volume = 431 Å³ per cell

Cell: 7.623 7.623 7.623 Å, 82.06 82.06 82.06°
Atoms (fractional coordinates):
1 Cd 0.296 0.000 0.704
2 Cd 0.000 0.296 0.704
3 Cd 0.296 0.704 0.000
4 Cd 0.842 0.359 0.359
5 Cd 0.359 0.842 0.359
6 Cd 0.000 0.000 0.500
7 Cd 0.000 0.704 0.296
8 Cd 0.704 0.296 0.000
9 Cd 0.704 0.000 0.296
10 Cd 0.359 0.359 0.842
11 Cd 0.000 0.500 0.000
12 Cd 0.641 0.158 0.641
13 Cd 0.641 0.641 0.158
14 Cd 0.158 0.641 0.641
15 Cd 0.500 0.000 0.000
16 Pm 0.669 0.669 0.669
17 Pm 0.331 0.331 0.331
18 Ag 0.103 0.103 0.103
19 Ag 0.897 0.897 0.897


Number 1: raw total energy -40.13 eV for the cell shown. Number 2: raw total energy -22.00 eV for the cell shown. Number 3: raw total energy -55.70 eV for the cell shown. Number 4: raw total energy -31.51 eV for the cell shown.